No. 1
A plane-wave DFT calculation with PBE was carried out for a relaxed structure of BaCrC3.

Spin magnetization = 0.67 Bohr magnetons per cell
E_form = 1.1483 eV per atom
Raw total energy = -33.48 eV per cell

```
data_BaCrC3
_space_group_name_H-M_alt 'P m -3 m'
_space_group_IT_number 221
_space_group_name_Hall '-P 4 2 3'
_cell_length_a 4.0414
_cell_length_b 4.0414
_cell_length_c 4.0414
_cell_angle_alpha 90.00
_cell_angle_beta 90.00
_cell_angle_gamma 90.00
loop_
_atom_site_label
_atom_site_type_symbol
_atom_site_fract_x
_atom_site_fract_y
_atom_site_fract_z
Ba1 Ba 0.0000 0.0000 0.0000
Cr1 Cr 0.5000 0.5000 0.5000
C1 C 0.0000 0.5000 0.5000
```

***

No. 2
A plane-wave DFT calculation with PBE was carried out for a relaxed structure of HfBe2W2.

Spin magnetization = 0.00 Bohr magnetons per cell
E_form = -0.0987 eV per atom
Raw total energy = -87.61 eV per cell

```
data_HfBe2W2
_space_group_name_H-M_alt 'P 4/m b m'
_space_group_IT_number 127
_space_group_name_Hall '-P 4 2ab'
_cell_length_a 6.4534
_cell_length_b 6.4534
_cell_length_c 3.2797
_cell_angle_alpha 90.00
_cell_angle_beta 90.00
_cell_angle_gamma 90.00
loop_
_atom_site_label
_atom_site_type_symbol
_atom_site_fract_x
_atom_site_fract_y
_atom_site_fract_z
Hf1 Hf 0.0000 0.0000 0.0000
Be1 Be 0.1131 0.3869 0.0000
W1 W 0.1744 0.6744 0.5000
```

***

No. 3
A plane-wave DFT calculation with PBE was carried out for a relaxed structure of La3Lu.

Spin magnetization = 0.03 Bohr magnetons per cell
E_form = 0.1293 eV per atom
Raw total energy = -75.14 eV per cell

```
data_La3Lu
_space_group_name_H-M_alt 'F m -3 m'
_space_group_IT_number 225
_space_group_name_Hall '-F 4 2 3'
_cell_length_a 8.2974
_cell_length_b 8.2974
_cell_length_c 8.2974
_cell_angle_alpha 90.00
_cell_angle_beta 90.00
_cell_angle_gamma 90.00
loop_
_atom_site_label
_atom_site_type_symbol
_atom_site_fract_x
_atom_site_fract_y
_atom_site_fract_z
La1 La 0.0000 0.0000 0.0000
La2 La 0.2500 0.2500 0.2500
Lu1 Lu 0.0000 0.0000 0.5000
```

***

No. 4
A plane-wave DFT calculation with PBE was carried out for a relaxed structure of KNiAg.

Spin magnetization = 0.55 Bohr magnetons per cell
E_form = 0.7823 eV per atom
Raw total energy = -29.53 eV per cell

```
data_KNiAg
_space_group_name_H-M_alt 'F -4 3 m'
_space_group_IT_number 216
_space_group_name_Hall 'F -4 2 3'
_cell_length_a 6.7193
_cell_length_b 6.7193
_cell_length_c 6.7193
_cell_angle_alpha 90.00
_cell_angle_beta 90.00
_cell_angle_gamma 90.00
loop_
_atom_site_label
_atom_site_type_symbol
_atom_site_fract_x
_atom_site_fract_y
_atom_site_fract_z
K1 K 0.0000 0.0000 0.0000
Ni1 Ni 0.2500 0.2500 0.7500
Ag1 Ag 0.0000 0.0000 0.5000
```